The following is a PBE calculation of crystalline In10NiSe10 at its relaxed geometry, from OQMD.

- raw total energy (eV/atom) = -3.644
- total moment (μB/f.u.) = 0.00

a = 11.913 Å, b = 7.709 Å, c = 12.543 Å
α = 90.00°, β = 90.00°, γ = 90.00°
Positions (direct):
In1 0.000 0.240 0.000
In2 0.000 0.760 0.000
In3 0.385 0.259 0.087
In4 0.385 0.741 0.087
In5 0.655 0.500 0.144
In6 0.650 0.000 0.223
In7 0.150 0.000 0.277
In8 0.155 0.500 0.356
In9 0.885 0.259 0.413
In10 0.885 0.741 0.413
In11 0.500 0.240 0.500
In12 0.500 0.760 0.500
In13 0.115 0.259 0.587
In14 0.115 0.741 0.587
In15 0.845 0.500 0.644
In16 0.850 0.000 0.723
In17 0.350 0.000 0.777
In18 0.345 0.500 0.856
In19 0.615 0.259 0.913
In20 0.615 0.741 0.913
Ni1 0.500 0.500 0.000
Ni2 0.000 0.500 0.500
Se1 0.724 0.000 0.031
Se2 0.885 0.500 0.115
Se3 0.170 0.288 0.174
Se4 0.170 0.712 0.174
Se5 0.428 0.000 0.227
Se6 0.928 0.000 0.273
Se7 0.670 0.288 0.326
Se8 0.670 0.712 0.326
Se9 0.385 0.500 0.385
Se10 0.224 0.000 0.469
Se11 0.776 0.000 0.531
Se12 0.615 0.500 0.615
Se13 0.330 0.288 0.674
Se14 0.330 0.712 0.674
Se15 0.072 0.000 0.727
Se16 0.572 0.000 0.773
Se17 0.830 0.288 0.826
Se18 0.830 0.712 0.826
Se19 0.115 0.500 0.885
Se20 0.276 0.000 0.969